A PBEsol-optimized structure of La2AlB, computed with meta-GGA SCAN.

## Properties
**Spin magnetization**: 0.00 μB/atom
**Calculated total energy**: -25.18 eV/atom

```
La2AlB
1.0
-4.058 -0.006 -3.013
0.502 -1.073 -4.914
-1.783 -4.362 -1.829
B Al La
1 1 2
Cartesian
0.000 0.000 0.000
-2.670 -2.721 -4.878
-1.335 -1.360 -2.439
-4.004 -4.081 -7.317
```